Entry 1:
# Hf3MnTl (PBE, optimized geometry)
data_Hf3MnTl
_space_group_name_H-M_alt 'P 1'
_space_group_IT_number 1
_cell_length_a 5.209
_cell_length_b 5.209
_cell_length_c 5.209
_cell_angle_alpha 90.00
_cell_angle_beta 90.00
_cell_angle_gamma 90.00
loop_
_space_group_symop_operation_xyz
'x,y,z'
loop_
_atom_site_label
_atom_site_fract_x
_atom_site_fract_y
_atom_site_fract_z
Hf1 0.000 0.000 0.500
Hf2 0.000 0.500 0.000
Hf3 0.500 0.000 0.000
Mn1 0.500 0.500 0.500
Tl1 0.000 0.000 0.000
# * calculated formation energy: 984.2 kJ/mol of formula units


Entry 2:
# Rb2In4HgGe3 (PBE, optimized geometry)
data_Rb2In4HgGe3
_space_group_name_H-M_alt 'P 1'
_space_group_IT_number 1
_cell_length_a 5.032
_cell_length_b 5.032
_cell_length_c 11.493
_cell_angle_alpha 90.00
_cell_angle_beta 90.00
_cell_angle_gamma 90.00
loop_
_space_group_symop_operation_xyz
'x,y,z'
loop_
_atom_site_label
_atom_site_fract_x
_atom_site_fract_y
_atom_site_fract_z
Rb1 0.000 0.500 0.250
Rb2 0.500 0.000 0.750
In1 0.000 0.000 0.000
In2 0.000 0.500 0.631
In3 0.500 0.000 0.369
In4 0.500 0.500 0.000
Hg1 0.000 0.000 0.500
Ge1 0.000 0.500 0.875
Ge2 0.500 0.000 0.125
Ge3 0.500 0.500 0.500
# * calculated formation energy: -81.6 kJ/mol of formula units


Entry 3:
# Tb8FeSn2 (PBE, optimized geometry)
data_Tb8FeSn2
_space_group_name_H-M_alt 'P 1'
_space_group_IT_number 1
_cell_length_a 9.306
_cell_length_b 9.306
_cell_length_c 6.771
_cell_angle_alpha 108.93
_cell_angle_beta 108.93
_cell_angle_gamma 33.28
loop_
_space_group_symop_operation_xyz
'x,y,z'
loop_
_atom_site_label
_atom_site_fract_x
_atom_site_fract_y
_atom_site_fract_z
Tb1 0.008 0.008 0.238
Tb2 0.207 0.207 0.130
Tb3 0.361 0.361 0.666
Tb4 0.409 0.409 0.232
Tb5 0.591 0.591 0.768
Tb6 0.639 0.639 0.334
Tb7 0.793 0.793 0.870
Tb8 0.992 0.992 0.762
Fe1 0.500 0.500 0.000
Sn1 0.172 0.172 0.634
Sn2 0.828 0.828 0.366
# * calculated formation energy: -274.2 kJ/mol of formula units


Entry 4:
# GeB (PBE, optimized geometry)
data_GeB
_space_group_name_H-M_alt 'P 1'
_space_group_IT_number 1
_cell_length_a 3.339
_cell_length_b 3.339
_cell_length_c 5.903
_cell_angle_alpha 90.00
_cell_angle_beta 90.00
_cell_angle_gamma 120.00
loop_
_space_group_symop_operation_xyz
'x,y,z'
loop_
_atom_site_label
_atom_site_fract_x
_atom_site_fract_y
_atom_site_fract_z
Ge1 0.333 0.667 0.000
Ge2 0.667 0.333 0.500
B1 0.333 0.667 0.653
B2 0.667 0.333 0.153
# * calculated formation energy: 105.7 kJ/mol of formula units


Entry 5:
# Pr2PuCu3Ge4 (PBE, optimized geometry)
data_Pr2PuCu3Ge4
_space_group_name_H-M_alt 'P 1'
_space_group_IT_number 1
_cell_length_a 4.331
_cell_length_b 4.331
_cell_length_c 10.982
_cell_angle_alpha 90.00
_cell_angle_beta 90.00
_cell_angle_gamma 90.00
loop_
_space_group_symop_operation_xyz
'x,y,z'
loop_
_atom_site_label
_atom_site_fract_x
_atom_site_fract_y
_atom_site_fract_z
Pr1 0.000 0.500 0.225
Pr2 0.500 0.000 0.775
Pu1 0.000 0.000 0.500
Cu1 0.000 0.500 0.886
Cu2 0.500 0.000 0.114
Cu3 0.500 0.500 0.500
Ge1 0.000 0.000 0.000
Ge2 0.000 0.500 0.667
Ge3 0.500 0.000 0.333
Ge4 0.500 0.500 0.000
# * calculated formation energy: -378.9 kJ/mol of formula units


Entry 6:
# Li2ScBeSe (PBE, optimized geometry)
data_Li2ScBeSe
_space_group_name_H-M_alt 'P 1'
_space_group_IT_number 1
_cell_length_a 4.344
_cell_length_b 4.344
_cell_length_c 4.901
_cell_angle_alpha 90.00
_cell_angle_beta 90.00
_cell_angle_gamma 90.00
loop_
_space_group_symop_operation_xyz
'x,y,z'
loop_
_atom_site_label
_atom_site_fract_x
_atom_site_fract_y
_atom_site_fract_z
Li1 0.000 0.500 0.000
Li2 0.500 0.000 0.000
Sc1 0.000 0.000 0.500
Be1 0.000 0.000 0.000
Se1 0.500 0.500 0.500
# * energy relative to the elements, uncorrected: 0.04 eV per formula unit


Entry 7:
# RbBaInAs2 (PBE, optimized geometry)
data_RbBaInAs2
_space_group_name_H-M_alt 'P 1'
_space_group_IT_number 1
_cell_length_a 9.041
_cell_length_b 9.041
_cell_length_c 10.199
_cell_angle_alpha 115.03
_cell_angle_beta 115.03
_cell_angle_gamma 29.68
loop_
_space_group_symop_operation_xyz
'x,y,z'
loop_
_atom_site_label
_atom_site_fract_x
_atom_site_fract_y
_atom_site_fract_z
Rb1 0.091 0.091 0.425
Rb2 0.909 0.909 0.575
Ba1 0.231 0.231 0.164
Ba2 0.769 0.769 0.836
In1 0.441 0.441 0.101
In2 0.559 0.559 0.899
As1 0.121 0.121 0.812
As2 0.389 0.389 0.803
As3 0.611 0.611 0.197
As4 0.879 0.879 0.188
# * calculated formation energy: -311.0 kJ/mol of formula units


Entry 8:
# ErLuCrRu (PBE, optimized geometry)
data_ErLuCrRu
_space_group_name_H-M_alt 'P 1'
_space_group_IT_number 1
_cell_length_a 4.831
_cell_length_b 4.831
_cell_length_c 4.831
_cell_angle_alpha 60.00
_cell_angle_beta 60.00
_cell_angle_gamma 60.00
loop_
_space_group_symop_operation_xyz
'x,y,z'
loop_
_atom_site_label
_atom_site_fract_x
_atom_site_fract_y
_atom_site_fract_z
Er1 0.000 0.000 0.000
Lu1 0.500 0.500 0.500
Cr1 0.250 0.250 0.250
Ru1 0.750 0.750 0.750
# * calculated formation energy: -37.5 kJ/mol of formula units